# 1
A plane-wave DFT calculation with GGA-PBE was carried out for an optimized crystal structure of CsNpSF2.

Values from the calculation:
The uncorrected formation energy comes out at -2.49 eV per atom. As for the crystal system: orthorhombic. As for the volume: 123.6 Å³/f.u. As for the space group: Cmcm.

Cell: 4.014 8.052 7.894 Å, 90.00 90.00 104.43°
Last column: magnetic moment on the atom in μB.
Fractional coordinates of all 10 atoms:
Cs 0.729 0.458 0.750  0.00
Cs 0.271 0.542 0.250  0.00
Np 0.000 0.000 0.000  3.85
Np 0.000 0.000 0.500  3.85
S 0.489 0.978 0.750  -0.10
S 0.511 0.022 0.250  -0.10
F 0.142 0.284 0.974  -0.02
F 0.858 0.716 0.026  -0.02
F 0.142 0.284 0.526  -0.02
F 0.858 0.716 0.474  -0.02



# 2
A plane-wave DFT calculation with GGA-PBE was carried out for an optimized crystal structure of SrNdMgPb.

Values from the calculation:
As for the crystal system: cubic. As for the volume: 127.3 Å³/f.u. The value obtained for the formation enthalpy at 0 K is -0.2848 eV/atom. As for the space group: F-43m.

Cell: 5.646 5.646 5.646 Å, 60.00 60.00 60.00°
Fractional coordinates of all 4 atoms:
Pb 0.500 0.500 0.500
Sr 0.750 0.750 0.750
Mg 0.000 0.000 0.000
Nd 0.250 0.250 0.250



# 3
A plane-wave DFT calculation with GGA-PBE was carried out for an optimized crystal structure of EuVSb2.

Values from the calculation:
The uncorrected formation energy comes out at 0.02 eV per atom. As for the crystal system: trigonal. As for the volume: 107.5 Å³/f.u. As for the space group: R-3m. The distance to the lowest polymorph of the same formula comes out at 291 meV per atom.

Cell: 3.468 3.468 10.517 Å, 80.51 80.51 60.00°
Last column: magnetic moment on the atom in μB.
Fractional coordinates of all 4 atoms:
Eu 0.000 0.000 0.000  7.26
Sb 0.106 0.106 0.682  -0.01
Sb 0.894 0.894 0.318  -0.01
V 0.500 0.500 0.500  0.14



Question: What is the formula in the second record?
Answer: SrNdMgPb



Please write out number 1 again, unchanged.
A plane-wave DFT calculation with GGA-PBE was carried out for an optimized crystal structure of CsNpSF2.

Values from the calculation:
The uncorrected formation energy comes out at -2.49 eV per atom. As for the crystal system: orthorhombic. As for the volume: 123.6 Å³/f.u. As for the space group: Cmcm.

Cell: 4.014 8.052 7.894 Å, 90.00 90.00 104.43°
Last column: magnetic moment on the atom in μB.
Fractional coordinates of all 10 atoms:
Cs 0.729 0.458 0.750  0.00
Cs 0.271 0.542 0.250  0.00
Np 0.000 0.000 0.000  3.85
Np 0.000 0.000 0.500  3.85
S 0.489 0.978 0.750  -0.10
S 0.511 0.022 0.250  -0.10
F 0.142 0.284 0.974  -0.02
F 0.858 0.716 0.026  -0.02
F 0.142 0.284 0.526  -0.02
F 0.858 0.716 0.474  -0.02